The following is a DFT calculation (GGA-PBE) of a relaxed structure of SrLi2Be.

The structure in extended XYZ format:
```
4
Lattice="5.328 -0.001 0.000 0.979 5.238 0.000 -3.153 -2.618 3.404" Properties=species:S:1:pos:R:3 pbc="T T T"
Sr 3.153 2.618 0.000
Li 0.489 2.619 1.702
Be 2.664 0.000 1.702
Li 0.000 0.000 0.000
```

Properties
Energy of formation from the pure elements ... 382 meV per atom
SG ... No. 119

***

The following is a DFT calculation (GGA-PBE) of a relaxed structure of VNi3Rh3.

The structure in extended XYZ format:
```
14
Lattice="2.662 0.000 0.000 0.000 9.439 0.000 0.000 -4.720 8.175" Properties=species:S:1:pos:R:3 pbc="T T T"
Ni 1.997 0.516 1.933
Ni 0.666 8.023 1.414
Rh 0.666 5.625 0.645
Ni 1.997 2.787 7.655
V 0.666 4.720 2.725
Rh 1.997 2.253 5.194
Ni 0.666 4.204 6.241
Rh 1.997 -1.348 3.626
Rh 0.666 6.068 4.549
V 1.997 0.000 5.450
Rh 1.997 -0.905 7.529
Rh 0.666 2.466 2.981
Ni 1.997 -3.303 6.761
Ni 0.666 1.932 0.520
```

Properties
Energy of formation from the pure elements ... 285 meV per atom
SG ... No. 176

***

The following is a DFT calculation (GGA-PBE) of a relaxed structure of CdSe2.

The structure in extended XYZ format:
```
6
Lattice="2.007 5.695 -0.118 -2.007 5.695 -0.118 0.000 3.463 7.020" Properties=species:S:1:pos:R:3 pbc="T T T"
Se 0.000 12.105 1.575
Se 0.000 9.653 1.732
Cd 0.000 7.590 6.882
Cd 0.000 7.264 -0.099
Se 0.000 5.200 5.051
Se 0.000 2.748 5.208
```

Properties
Raw formation energy ... -90.1 meV/atom
SG ... No. 12

***

The following is a DFT calculation (GGA-PBE) of a relaxed structure of TlZnSi3.

The structure in extended XYZ format:
```
5
Lattice="-3.601 3.168 -0.113 -3.169 -3.602 0.017 -0.074 0.087 4.797" Properties=species:S:1:pos:R:3 pbc="T T T"
Si -1.585 -1.801 0.008
Tl -3.422 -0.173 2.350
Zn 0.000 0.000 0.000
Si -1.801 1.584 -0.057
Si -0.037 0.044 2.398
```

Properties
Raw formation energy ... 853.5 meV/atom
SG ... No. 221

***

Number 1: energy -1.93 eV/atom, density of states at the Fermi level 3.7 states/eV/cell. Number 2: energy -6.65 eV/atom, density of states at the Fermi level 18.6 states/eV/cell. Number 3: energy -2.72 eV/atom, density of states at the Fermi level 0.8 states/eV/cell. Number 4: energy -3.13 eV/atom, density of states at the Fermi level 3.5 states/eV/cell.